Record 1
An optimized crystal structure of Pa3C2O, computed with PBE.

Cell and atoms, written as POSCAR:
```
Pa3C2O
1.0
-1.240 3.087 -1.285
-2.677 -0.096 2.354
6.182 2.263 4.422
Pa C O
3 2 1
direct
0.934 0.936 0.874 Pa
0.267 0.268 0.539 Pa
0.602 0.603 0.209 Pa
0.100 0.101 0.205 C
0.769 0.770 0.543 C
0.434 0.436 0.874 O
```

Output
* ΔE_f (raw): -1221 meV/atom
* M_tot: 0.000 Bohr magnetons per cell
* calculated density: 12.73 g/cm3

***

Record 2
An optimized crystal structure of Pa6C5O, computed with PBE.

Cell and atoms, written as POSCAR:
```
Pa6C5O
1.0
-3.724 3.833 -3.143
0.919 -5.786 -2.030
-3.625 -1.183 4.896
C Pa O
5 6 1
direct
0.831 0.169 0.500 C
0.666 0.334 0.000 C
0.500 0.500 0.500 C
0.334 0.666 0.000 C
0.169 0.831 0.500 C
0.418 0.083 0.251 Pa
0.917 0.582 0.749 Pa
0.251 0.251 0.748 Pa
0.749 0.749 0.252 Pa
0.083 0.418 0.251 Pa
0.582 0.917 0.749 Pa
0.000 0.000 0.000 O
```

Output
* ΔE_f (raw): -872 meV/atom
* M_tot: 0.000 Bohr magnetons per cell
* calculated density: 12.47 g/cm3

***

Record 3
An optimized crystal structure of Pa3CO2, computed with PBE.

Cell and atoms, written as POSCAR:
```
Pa3CO2
1.0
-3.903 -0.896 2.967
3.458 -5.398 2.918
4.024 6.501 7.257
Pa C O
12 4 8
direct
0.250 0.626 0.583 Pa
0.250 0.126 0.917 Pa
0.250 0.625 0.918 Pa
0.250 0.125 0.582 Pa
0.250 0.624 0.250 Pa
0.250 0.124 0.250 Pa
0.750 0.876 0.750 Pa
0.750 0.376 0.750 Pa
0.750 0.875 0.418 Pa
0.750 0.375 0.082 Pa
0.750 0.874 0.083 Pa
0.750 0.374 0.417 Pa
0.250 0.873 0.080 C
0.250 0.373 0.420 C
0.750 0.627 0.580 C
0.750 0.127 0.920 C
0.250 0.874 0.757 O
0.250 0.374 0.743 O
0.250 0.874 0.416 O
0.250 0.374 0.084 O
0.750 0.626 0.916 O
0.750 0.126 0.584 O
0.750 0.626 0.257 O
0.750 0.126 0.243 O
```

Output
* ΔE_f (raw): -1916 meV/atom
* M_tot: 0.000 Bohr magnetons per cell
* calculated density: 13.23 g/cm3

***

Record 4
An optimized crystal structure of PaC2O6, computed with PBE.

Cell and atoms, written as POSCAR:
```
PaC2O6
1.0
6.334 0.814 0.663
2.868 8.046 3.467
-0.537 0.814 6.346
Pa C O
2 4 12
direct
0.828 0.750 0.172 Pa
0.172 0.250 0.828 Pa
0.373 0.756 0.162 C
0.838 0.744 0.627 C
0.627 0.244 0.838 C
0.162 0.256 0.373 C
0.091 0.413 0.377 O
0.623 0.087 0.909 O
0.909 0.587 0.623 O
0.377 0.913 0.091 O
0.237 0.107 0.577 O
0.423 0.393 0.763 O
0.763 0.893 0.423 O
0.577 0.607 0.237 O
0.172 0.758 0.155 O
0.845 0.742 0.828 O
0.828 0.242 0.845 O
0.155 0.258 0.172 O
```

Output
* ΔE_f (raw): -2015 meV/atom
* M_tot: 2.001 Bohr magnetons per cell
* calculated density: 3.97 g/cm3

***

Record 5
An optimized crystal structure of PaC2O8, computed with PBE.

Cell and atoms, written as POSCAR:
```
PaC2O8
1.0
-2.349 -2.510 -3.762
0.135 -5.535 1.892
-4.815 -2.021 2.639
Pa C O
1 2 8
direct
0.000 0.000 0.000 Pa
0.321 0.181 0.181 C
0.679 0.819 0.819 C
0.779 0.057 0.690 O
0.221 0.310 0.943 O
0.599 0.154 0.154 O
0.401 0.846 0.846 O
0.779 0.690 0.057 O
0.221 0.943 0.310 O
0.242 0.323 0.323 O
0.758 0.677 0.677 O
```

Output
* ΔE_f (raw): -1281 meV/atom
* M_tot: 3.009 Bohr magnetons per cell
* calculated density: 4.23 g/cm3

***

Record 6
An optimized crystal structure of PrPaCO, computed with PBE.

Cell and atoms, written as POSCAR:
```
PrPaCO
1.0
-3.310 2.347 0.740
-2.452 -3.250 -0.660
0.448 -2.095 8.651
Pr Pa C O
2 2 2 2
direct
0.500 0.000 0.630 Pr
0.000 0.500 0.370 Pr
0.500 0.500 0.000 Pa
0.000 0.000 0.000 Pa
0.000 0.500 0.853 C
0.500 0.000 0.147 C
0.000 0.000 0.500 O
0.500 0.500 0.500 O
```

Output
* ΔE_f (raw): -1235 meV/atom
* M_tot: 0.000 Bohr magnetons per cell
* calculated density: 8.76 g/cm3

***

Record 7
An optimized crystal structure of RbPaCO5, computed with PBE.

Cell and atoms, written as POSCAR:
```
RbPaCO5
1.0
-4.003 4.159 0.736
0.087 -2.977 4.999
7.052 3.821 -0.370
Rb Pa C O
2 2 2 10
direct
0.343 0.657 0.250 Rb
0.657 0.343 0.750 Rb
0.000 0.000 0.500 Pa
0.000 0.000 0.000 Pa
0.693 0.307 0.250 C
0.307 0.693 0.750 C
0.064 0.936 0.250 O
0.936 0.064 0.750 O
0.846 0.278 0.138 O
0.154 0.722 0.862 O
0.722 0.154 0.362 O
0.278 0.846 0.638 O
0.778 0.568 0.364 O
0.222 0.432 0.636 O
0.432 0.222 0.136 O
0.568 0.778 0.864 O
```

Output
* ΔE_f (raw): -2192 meV/atom
* M_tot: 0.000 Bohr magnetons per cell
* calculated density: 5.79 g/cm3

***

Record 8
An optimized crystal structure of PaTlCO5, computed with PBE.

Cell and atoms, written as POSCAR:
```
PaTlCO5
1.0
-1.319 -3.378 4.566
5.806 -0.252 -0.474
-1.792 7.578 2.167
Pa Tl C O
2 2 2 10
direct
0.000 0.000 0.500 Pa
0.000 0.000 0.000 Pa
0.343 0.657 0.250 Tl
0.657 0.343 0.750 Tl
0.693 0.307 0.250 C
0.307 0.693 0.750 C
0.064 0.936 0.250 O
0.936 0.064 0.750 O
0.843 0.277 0.139 O
0.157 0.723 0.861 O
0.723 0.157 0.361 O
0.277 0.843 0.639 O
0.780 0.571 0.365 O
0.220 0.429 0.635 O
0.429 0.220 0.135 O
0.571 0.780 0.865 O
```

Output
* ΔE_f (raw): -1976 meV/atom
* M_tot: 0.000 Bohr magnetons per cell
* calculated density: 7.47 g/cm3

***

Question: What is the formula in the second record?
Answer: Pa6C5O